# 1
InNi2Rh | PBE | relaxed

a = 8.5350 Å, b = 8.5350 Å, c = 8.5350 Å
α = 19.08°, β = 19.08°, γ = 19.08°
Last column: nearest neighbours and their distance in Å.
Positions (direct):
In1 0.7500 0.7500 0.7500  6 Ni 2.71, 6 In 2.83
Ni1 0.9973 0.9973 0.9973  3 Rh 2.60, 3 In 2.71, 6 Ni 2.83
Ni2 0.5027 0.5027 0.5027  3 Rh 2.60, 3 In 2.71, 6 Ni 2.83
Rh1 0.2500 0.2500 0.2500  6 Ni 2.60, 6 Rh 2.83

Calculated values
The value obtained for the formation energy is 0.91 eV/f.u. The space-group type is R-3m.

=====

# 2
Sm3Ag2Hg4 | PBE | relaxed

a = 5.2465 Å, b = 5.3562 Å, c = 9.1515 Å
α = 96.75°, β = 90.00°, γ = 119.32°
Last column: nearest neighbours and their distance in Å.
Positions (direct):
Sm1 0.0000 0.0000 0.0000  8 Hg 3.14-3.17
Hg1 0.0515 0.1030 0.3489  4 Ag 2.91-3.18, 1 Hg 3.05, 4 Sm 3.13-3.16
Sm2 0.6264 0.2528 0.7216  4 Hg 3.13-3.24, 4 Ag 3.20-3.29
Hg2 0.6795 0.3589 0.0785  1 Ag 2.91, 4 Sm 3.14-3.24
Sm3 0.3736 0.7472 0.2784  4 Hg 3.13-3.24, 4 Ag 3.20-3.29
Hg3 0.9485 0.8970 0.6511  4 Ag 2.91-3.18, 1 Hg 3.05, 4 Sm 3.13-3.16
Hg4 0.3205 0.6411 0.9215  1 Ag 2.91, 4 Sm 3.14-3.24
Ag1 0.7216 0.4431 0.3990  5 Hg 2.91-3.18, 3 Sm 3.20-3.25, 2 Ag 3.21
Ag2 0.2784 0.5569 0.6010  5 Hg 2.91-3.18, 3 Sm 3.20-3.25, 2 Ag 3.21

Calculated values
The value obtained for the formation energy is -3.38 eV/f.u. The space-group type is C2/m. For the offset from the most stable computed form, the calculation gives 13.0 kJ/mol of formula units.

=====

# 3
Y2ScAg | PBE | relaxed

a = 3.5112 Å, b = 3.5112 Å, c = 10.3580 Å
α = 80.24°, β = 80.24°, γ = 60.00°
Last column: nearest neighbours and their distance in Å.
Positions (direct):
Sc1 0.5000 0.5000 0.5001  6 Y 3.36, 6 Sc 3.51
Y1 0.2546 0.2546 0.2362  3 Ag 3.14, 3 Sc 3.36, 6 Y 3.51
Ag1 0.6668 0.6668 0.9997  6 Y 3.14, 6 Ag 3.51
Y2 0.0787 0.0787 0.7640  3 Ag 3.14, 3 Sc 3.36, 6 Y 3.51

Calculated values
The value obtained for the formation energy is 0.03 eV/f.u. The space-group type is R3m. For the offset from the most stable computed form, the calculation gives 48.8 kJ/mol of formula units.

=====

# 4
AgPOs2 | PBE | relaxed

a = 4.7963 Å, b = 5.2534 Å, c = 2.7931 Å
α = 75.46°, β = 88.14°, γ = 116.61°
Last column: nearest neighbours and their distance in Å.
Positions (direct):
Ag1 0.5000 0.5000 0.0000  4 Os 2.65, 4 P 2.74-2.81, 2 Ag 2.79
Os1 0.0000 0.0000 0.0000  2 Ag 2.65, 2 P 2.65, 6 Os 2.74-2.81
Os2 0.5000 0.0000 0.5000  2 P 2.65, 2 Ag 2.65, 6 Os 2.74-2.81
P1 0.0000 0.5000 0.5000  4 Os 2.65, 4 Ag 2.74-2.81, 2 P 2.79

Calculated values
The value obtained for the formation energy is 3.34 eV/f.u. The space-group type is C2/m.

=====

# 5
CaAc8Co5 | PBE | relaxed

a = 4.2452 Å, b = 10.2181 Å, c = 11.1144 Å
α = 103.67°, β = 101.01°, γ = 90.00°
Last column: nearest neighbours and their distance in Å.
Positions (direct):
Co1 0.3338 0.9847 0.6676  6 Ac 2.82-2.99, 1 Co 2.95
Ac1 0.4282 0.8390 0.8565  4 Co 2.82-2.90
Ac2 0.8256 0.5097 0.6511  3 Co 2.94-2.96
Ac3 0.0941 0.8486 0.1883  3 Co 2.85-2.93
Ac4 0.9058 0.1515 0.8117  3 Co 2.85-2.93
Ac5 0.7575 0.8387 0.5150  5 Co 2.88-2.99
Co2 0.2989 0.6873 0.5977  6 Ac 2.87-2.96, 1 Co 2.95
Ac6 0.2425 0.1613 0.4851  5 Co 2.88-2.99
Co3 0.0000 0.0000 0.9999  6 Ac 2.85-2.90
Ac7 0.1745 0.4902 0.3489  3 Co 2.94-2.96
Ac8 0.5718 0.1610 0.1435  4 Co 2.82-2.90
Co4 0.7012 0.3127 0.4024  6 Ac 2.88-2.96, 1 Co 2.95
Ca1 0.4999 0.4999 0.9999  10 Ac 4.13-4.38, 2 Ca 4.25
Co5 0.6662 0.0154 0.3325  6 Ac 2.82-2.99, 1 Co 2.95

Calculated values
The value obtained for the formation energy is 0.13 eV/f.u. The space-group type is C2/m.

=====

# 6
InAsBr2 | PBE | relaxed

a = 3.7696 Å, b = 6.3620 Å, c = 7.6873 Å
α = 52.24°, β = 90.00°, γ = 90.00°
Last column: nearest neighbours and their distance in Å.
Positions (direct):
Br1 0.0000 0.8364 0.9524  2 As 2.71
As1 0.5000 0.7500 0.7500  4 Br 2.71
Br2 0.0000 0.6636 0.5476  2 As 2.71
In1 0.5000 0.2500 0.2500  2 As 3.15, 4 Br 3.50

Calculated values
The raw formation energy comes out at -0.14 eV per atom. The space-group type is P2/m. For the offset from the most stable computed form, the calculation gives 71.9 kJ/mol of formula units.

=====

Number 1: DOS at the Fermi energy 3.41 states/eV/f.u., magnetic moment 0.4184 μB per atom. Number 2: DOS at the Fermi energy 6.46 states/eV/f.u., magnetic moment 0.0000 μB per atom. Number 3: DOS at the Fermi energy 6.15 states/eV/f.u., magnetic moment 0.0077 μB per atom. Number 4: DOS at the Fermi energy 3.56 states/eV/f.u., magnetic moment 0.0000 μB per atom. Number 5: DOS at the Fermi energy 10.85 states/eV/f.u., magnetic moment 0.0000 μB per atom. Number 6: DOS at the Fermi energy 0.66 states/eV/f.u., magnetic moment 0.0000 μB per atom.